The following is a PBE-GGA calculation of Nd3ZnO after structural relaxation, from Alexandria via LeMat-Bulk.

Values from the calculation:
For the final energy, the calculation gives -26.59 eV/cell. As for the space-group type: No. 221.

Cell: 4.932 4.932 4.932 Å, 90.00 90.00 90.00°
Fractional coordinates of all 5 atoms:
1 Nd 0.000 0.000 0.500
2 Nd 0.000 0.500 0.000
3 Nd 0.500 0.000 0.000
4 Zn 0.500 0.500 0.500
5 O 0.000 0.000 0.000

=====

The following is a PBE-GGA calculation of NdZr9O20 after structural relaxation, from Alexandria via LeMat-Bulk.

Values from the calculation:
The calculation puts the energy above the most stable polymorph in this dataset at 30 meV per atom. For the final energy, the calculation gives -277.01 eV/cell. As for the space-group type: No. 2.

Cell: 6.369 7.353 8.221 Å, 102.99 97.40 106.77°
Fractional coordinates of all 30 atoms:
1 Nd 0.000 0.000 0.000
2 Zr 0.000 0.500 0.000
3 Zr 0.201 0.402 0.402
4 Zr 0.203 0.900 0.401
5 Zr 0.398 0.301 0.799
6 Zr 0.399 0.799 0.800
7 Zr 0.601 0.201 0.200
8 Zr 0.602 0.699 0.201
9 Zr 0.797 0.100 0.599
10 Zr 0.799 0.598 0.598
11 O 0.048 0.238 0.841
12 O 0.052 0.707 0.839
13 O 0.145 0.172 0.546
14 O 0.150 0.674 0.544
15 O 0.262 0.626 0.249
16 O 0.269 0.135 0.264
17 O 0.355 0.575 0.951
18 O 0.369 0.080 0.944
19 O 0.443 0.520 0.647
20 O 0.444 0.025 0.646
21 O 0.556 0.975 0.354
22 O 0.557 0.480 0.353
23 O 0.631 0.920 0.056
24 O 0.645 0.425 0.049
25 O 0.731 0.865 0.736
26 O 0.738 0.374 0.751
27 O 0.850 0.326 0.456
28 O 0.855 0.828 0.454
29 O 0.948 0.293 0.161
30 O 0.952 0.762 0.159

=====

The following is a PBE-GGA calculation of Nd2ZrO5 after structural relaxation, from Alexandria via LeMat-Bulk.

Values from the calculation:
For the final energy, the calculation gives -278.94 eV/cell. As for the space-group type: No. 62.

Cell: 9.936 6.823 6.196 Å, 90.00 90.00 90.00°
Fractional coordinates of all 32 atoms:
1 Nd 0.173 0.002 0.027
2 Nd 0.173 0.498 0.027
3 Nd 0.327 0.502 0.527
4 Nd 0.327 0.998 0.527
5 Nd 0.673 0.002 0.473
6 Nd 0.673 0.498 0.473
7 Nd 0.827 0.502 0.973
8 Nd 0.827 0.998 0.973
9 Zr 0.006 0.250 0.559
10 Zr 0.494 0.750 0.059
11 Zr 0.506 0.250 0.941
12 Zr 0.994 0.750 0.441
13 O 0.005 0.250 0.936
14 O 0.089 0.526 0.656
15 O 0.089 0.974 0.656
16 O 0.183 0.250 0.342
17 O 0.202 0.750 0.322
18 O 0.298 0.250 0.822
19 O 0.317 0.750 0.842
20 O 0.411 0.026 0.156
21 O 0.411 0.474 0.156
22 O 0.495 0.750 0.436
23 O 0.505 0.250 0.564
24 O 0.589 0.526 0.844
25 O 0.589 0.974 0.844
26 O 0.683 0.250 0.158
27 O 0.702 0.750 0.178
28 O 0.798 0.250 0.678
29 O 0.817 0.750 0.658
30 O 0.911 0.026 0.344
31 O 0.911 0.474 0.344
32 O 0.995 0.750 0.064

=====

The following is a PBE-GGA calculation of Nd3Zr5O12 after structural relaxation, from Alexandria via LeMat-Bulk.

Values from the calculation:
For the final energy, the calculation gives -700.50 eV/cell. As for the space-group type: No. 230.

Cell: 11.591 11.591 11.591 Å, 109.47 109.47 109.47°
Fractional coordinates of all 80 atoms:
1 Nd 0.125 0.250 0.375
2 Nd 0.125 0.375 0.750
3 Nd 0.250 0.375 0.125
4 Nd 0.250 0.875 0.625
5 Nd 0.375 0.125 0.250
6 Nd 0.375 0.750 0.125
7 Nd 0.625 0.250 0.875
8 Nd 0.625 0.875 0.750
9 Nd 0.750 0.125 0.375
10 Nd 0.750 0.625 0.875
11 Nd 0.875 0.625 0.250
12 Nd 0.875 0.750 0.625
13 Zr 0.000 0.000 0.000
14 Zr 0.000 0.000 0.500
15 Zr 0.000 0.500 0.000
16 Zr 0.000 0.500 0.500
17 Zr 0.125 0.750 0.875
18 Zr 0.125 0.875 0.250
19 Zr 0.250 0.125 0.875
20 Zr 0.250 0.625 0.375
21 Zr 0.375 0.250 0.625
22 Zr 0.375 0.625 0.750
23 Zr 0.500 0.000 0.000
24 Zr 0.500 0.000 0.500
25 Zr 0.500 0.500 0.000
26 Zr 0.500 0.500 0.500
27 Zr 0.625 0.375 0.250
28 Zr 0.625 0.750 0.375
29 Zr 0.750 0.375 0.625
30 Zr 0.750 0.875 0.125
31 Zr 0.875 0.125 0.750
32 Zr 0.875 0.250 0.125
33 O 0.036 0.210 0.131
34 O 0.036 0.326 0.905
35 O 0.079 0.710 0.674
36 O 0.079 0.869 0.405
37 O 0.095 0.631 0.421
38 O 0.095 0.964 0.674
39 O 0.131 0.036 0.210
40 O 0.131 0.595 0.921
41 O 0.174 0.210 0.579
42 O 0.174 0.464 0.595
43 O 0.210 0.131 0.036
44 O 0.210 0.579 0.174
45 O 0.290 0.326 0.921
46 O 0.290 0.464 0.369
47 O 0.326 0.905 0.036
48 O 0.326 0.921 0.290
49 O 0.369 0.290 0.464
50 O 0.369 0.579 0.905
51 O 0.405 0.079 0.869
52 O 0.405 0.826 0.536
53 O 0.421 0.095 0.631
54 O 0.421 0.826 0.790
55 O 0.464 0.369 0.290
56 O 0.464 0.595 0.174
57 O 0.536 0.405 0.826
58 O 0.536 0.631 0.710
59 O 0.579 0.174 0.210
60 O 0.579 0.905 0.369
61 O 0.595 0.174 0.464
62 O 0.595 0.921 0.131
63 O 0.631 0.421 0.095
64 O 0.631 0.710 0.536
65 O 0.674 0.079 0.710
66 O 0.674 0.095 0.964
67 O 0.710 0.536 0.631
68 O 0.710 0.674 0.079
69 O 0.790 0.421 0.826
70 O 0.790 0.869 0.964
71 O 0.826 0.536 0.405
72 O 0.826 0.790 0.421
73 O 0.869 0.405 0.079
74 O 0.869 0.964 0.790
75 O 0.905 0.036 0.326
76 O 0.905 0.369 0.579
77 O 0.921 0.131 0.595
78 O 0.921 0.290 0.326
79 O 0.964 0.674 0.095
80 O 0.964 0.790 0.869

=====

The following is a PBE-GGA calculation of NdZrO after structural relaxation, from Alexandria via LeMat-Bulk.

Values from the calculation:
For the final energy, the calculation gives -47.13 eV/cell. As for the space-group type: No. 59.

Cell: 3.552 3.587 9.007 Å, 90.00 90.00 90.00°
Fractional coordinates of all 6 atoms:
1 Nd 0.250 0.250 0.139
2 Nd 0.750 0.750 0.861
3 Zr 0.250 0.250 0.599
4 Zr 0.750 0.750 0.401
5 O 0.250 0.250 0.852
6 O 0.750 0.750 0.148

=====

The following is a PBE-GGA calculation of NdZr9O20 after structural relaxation, from Alexandria via LeMat-Bulk.

Values from the calculation:
The calculation puts the energy above the most stable polymorph in this dataset at 0 meV per atom. For the final energy, the calculation gives -277.91 eV/cell. As for the space-group type: No. 1.

Cell: 6.409 7.417 8.523 Å, 74.66 77.13 70.75°
Fractional coordinates of all 30 atoms:
1 Nd 0.000 0.000 0.000
2 Zr 0.195 0.306 0.606
3 Zr 0.201 0.816 0.604
4 Zr 0.387 0.100 0.217
5 Zr 0.413 0.612 0.210
6 Zr 0.584 0.909 0.810
7 Zr 0.606 0.427 0.796
8 Zr 0.791 0.701 0.415
9 Zr 0.805 0.212 0.402
10 Zr 0.978 0.500 0.012
11 O 0.021 0.201 0.168
12 O 0.133 0.557 0.418
13 O 0.144 0.654 0.091
14 O 0.180 0.133 0.442
15 O 0.235 0.985 0.751
16 O 0.315 0.514 0.688
17 O 0.345 0.351 0.006
18 O 0.391 0.917 0.051
19 O 0.408 0.788 0.371
20 O 0.516 0.308 0.281
21 O 0.535 0.155 0.603
22 O 0.594 0.726 0.644
23 O 0.621 0.584 0.965
24 O 0.668 0.128 0.882
25 O 0.725 0.948 0.232
26 O 0.771 0.538 0.243
27 O 0.813 0.384 0.560
28 O 0.919 0.909 0.491
29 O 0.927 0.772 0.827
30 O 0.979 0.339 0.831

=====

no.,uncorrected formation energy (eV/atom)
1,-1.210
2,-3.205
3,-3.357
4,-2.929
5,-1.763
6,-3.235